Li5InGa: relaxed, GGA-PBE.

Cell: 5.5577 5.5577 9.8711 Å, 98.45 98.45 59.64°
Last column: nearest neighbours and their distance in Å.
Positions (direct):
1 Li 0.1589 0.3086 0.6821  1 Ga 2.67, 4 Li 2.70-2.89, 2 In 2.78-2.93
2 Li 0.2000 0.8000 0.7500  2 Ga 2.70, 2 In 2.70-2.82, 4 Li 2.83-2.89
3 Li 0.2973 0.4019 0.9620  3 Li 2.70-2.93, 1 Ga 2.86
4 Li 0.3086 0.1589 0.1821  1 Ga 2.67, 4 Li 2.70-2.89, 2 In 2.78-2.93
5 Li 0.4019 0.2973 0.4620  3 Li 2.70-2.93, 1 Ga 2.86
6 Li 0.5981 0.7027 0.5380  3 Li 2.70-2.93, 1 Ga 2.86
7 Li 0.6914 0.8411 0.8179  1 Ga 2.67, 4 Li 2.70-2.89, 2 In 2.78-2.93
8 Li 0.7027 0.5981 0.0380  3 Li 2.70-2.93, 1 Ga 2.86
9 Li 0.8000 0.2000 0.2500  2 Ga 2.70, 2 In 2.70-2.82, 4 Li 2.83-2.89
10 Li 0.8411 0.6914 0.3179  1 Ga 2.67, 4 Li 2.70-2.89, 2 In 2.78-2.93
11 In 0.3107 0.6893 0.2500  6 Li 2.70-2.93, 2 Ga 3.01
12 In 0.6893 0.3107 0.7500  6 Li 2.70-2.93, 2 Ga 3.01
13 Ga 0.0000 0.0000 0.0000  6 Li 2.67-2.86
14 Ga 0.0000 0.0000 0.5000  6 Li 2.67-2.86

Properties
DOS(E_F) (states/eV/atom): 0.343
Calculated formation energy (meV/atom): -157
Final energy (eV/atom): -2.35